DFT (PBE-GGA) results for a relaxed structure of ZnB3W.

Results
E_form (eV per atom): 2.1031
Relative energy among the computed polymorphs (meV per atom): 724.0
Magnetization (μB per formula unit): 0.10

Cell: 3.844 3.844 3.844 Å, 90.00 90.00 90.00°
Site moments in Bohr magnetons follow the coordinates.
Fractional coordinates of all 5 atoms:
Zn 0.000 0.000 0.000  0.00
B 0.000 0.500 0.000  0.00
B 0.500 0.000 0.000  0.00
B 0.000 0.000 0.500  0.00
W 0.500 0.500 0.500  -0.08